Material: NiAsF2
Method: DFT, PBE+U
State: relaxed

Unit cell a=5.361 b=5.361 c=5.361 alpha=104.57 beta=104.57 gamma=119.79
Fractional coordinates of all 8 atoms:
Ni 0.000 0.000 0.000
Ni 0.750 0.250 0.500
As 0.250 0.750 0.500
As 0.500 0.500 0.000
F 0.021 0.625 0.896
F 0.375 0.271 0.396
F 0.729 0.125 0.104
F 0.875 0.979 0.604

N(E_F)	0.73	states/eV/atom
space group	No. 122
E above lowest polymorph	538	meV per atom
final energy	-3.4834	eV per atom


Material: Ni3AsF
Method: DFT, PBE+U
State: relaxed

Unit cell a=4.315 b=4.315 c=4.315 alpha=90.00 beta=90.00 gamma=90.00
Fractional coordinates of all 5 atoms:
Ni 0.000 0.000 0.500
Ni 0.000 0.500 0.000
Ni 0.500 0.000 0.000
As 0.000 0.000 0.000
F 0.500 0.500 0.500

N(E_F)	0.52	states/eV/atom
space group	No. 221
E above lowest polymorph	954	meV per atom
final energy	-1.7980	eV per atom


Material: NiAsF2
Method: DFT, PBE+U
State: relaxed

Unit cell a=9.372 b=9.372 c=9.372 alpha=18.34 beta=18.34 gamma=18.34
Fractional coordinates of all 4 atoms:
Ni 0.000 0.000 0.000
As 0.500 0.500 0.500
F 0.371 0.371 0.371
F 0.629 0.629 0.629

N(E_F)	0.47	states/eV/atom
space group	No. 166
E above lowest polymorph	0	meV per atom
final energy	-4.0219	eV per atom


Material: Ni2AsF
Method: DFT, PBE+U
State: relaxed

Unit cell a=5.382 b=5.382 c=5.382 alpha=113.27 beta=113.27 gamma=102.12
Fractional coordinates of all 8 atoms:
Ni 0.088 0.625 0.963
Ni 0.375 0.338 0.463
Ni 0.662 0.125 0.037
Ni 0.875 0.912 0.537
As 0.250 0.750 0.500
As 0.500 0.500 0.000
F 0.000 0.000 0.000
F 0.750 0.250 0.500

N(E_F)	0.18	states/eV/atom
space group	No. 122
E above lowest polymorph	0	meV per atom
final energy	-3.0938	eV per atom